# 1
MgCoMo4: relaxed, GGA-PBE.

Computed properties:
ρ: 7.752 g cm⁻³
density of states at the Fermi level: 6.46 states/eV/cell
total moment: 1.1 μB/f.u.
calculated formation energy: 506 meV/atom

a b c (Å): 5.211 5.211 5.211
angles (deg): 60.00 60.00 60.00
Positions (direct):
Mg (0.000, 0.000, 0.000)
Co (0.750, 0.750, 0.750)
Mo (0.375, 0.375, 0.375)
Mo (0.375, 0.375, 0.876)
Mo (0.375, 0.876, 0.375)
Mo (0.876, 0.375, 0.375)

---

# 2
Tb4Dy5Er: relaxed, GGA-PBE.

Computed properties:
ρ: 8.565 g cm⁻³
energy above the lowest structure with this stoichiometry: 0.000 eV/f.u.
density of states at the Fermi level: 12.90 states/eV/cell
total moment: 0.0 μB/f.u.
calculated formation energy: 15 meV/atom

a b c (Å): 12.793 12.793 7.069
angles (deg): 97.95 97.95 15.87
Positions (direct):
Tb (0.100, 0.100, 0.300)
Tb (0.300, 0.300, 0.900)
Tb (0.700, 0.700, 0.100)
Tb (0.900, 0.900, 0.700)
Dy (0.100, 0.100, 0.800)
Dy (0.300, 0.300, 0.400)
Dy (0.500, 0.500, 0.500)
Dy (0.700, 0.700, 0.600)
Dy (0.900, 0.900, 0.200)
Er (0.500, 0.500, 0.000)

---

# 3
LaFeAs2: relaxed, GGA-PBE.

Computed properties:
ρ: 6.732 g cm⁻³
energy above the lowest structure with this stoichiometry: 1.528 eV/f.u.
density of states at the Fermi level: 4.26 states/eV/cell
total moment: 3.0 μB/f.u.
calculated formation energy: -295 meV/atom

a b c (Å): 4.661 4.661 3.940
angles (deg): 90.09 90.09 96.82
Positions (direct):
La (0.000, 0.000, 0.000)
Fe (0.500, 0.500, 0.000)
As (0.000, 0.500, 0.500)
As (0.500, 0.000, 0.500)

---

# 4
ZnB6Rh12: relaxed, GGA-PBE.

Computed properties:
ρ: 10.160 g cm⁻³
density of states at the Fermi level: 19.62 states/eV/cell
total moment: 0.0 μB/f.u.
calculated formation energy: -289 meV/atom

a b c (Å): 6.618 6.618 6.618
angles (deg): 109.47 109.47 109.47
Positions (direct):
Zn (0.000, 0.000, 0.000)
B (0.119, 0.500, 0.619)
B (0.381, 0.881, 0.500)
B (0.500, 0.381, 0.881)
B (0.500, 0.619, 0.119)
B (0.619, 0.119, 0.500)
B (0.881, 0.500, 0.381)
Rh (0.125, 0.308, 0.817)
Rh (0.183, 0.491, 0.308)
Rh (0.183, 0.875, 0.692)
Rh (0.308, 0.183, 0.491)
Rh (0.308, 0.817, 0.125)
Rh (0.491, 0.308, 0.183)
Rh (0.509, 0.692, 0.817)
Rh (0.692, 0.183, 0.875)
Rh (0.692, 0.817, 0.509)
Rh (0.817, 0.125, 0.308)
Rh (0.817, 0.509, 0.692)
Rh (0.875, 0.692, 0.183)

---

# 5
TlRe2Pb: relaxed, GGA-PBE.

Computed properties:
ρ: 16.783 g cm⁻³
energy above the lowest structure with this stoichiometry: 3.514 eV/f.u.
density of states at the Fermi level: 4.93 states/eV/cell
total moment: 0.0 μB/f.u.
calculated formation energy: 1324 meV/atom

a b c (Å): 3.184 4.674 5.213
angles (deg): 90.00 90.00 90.00
Positions (direct):
Tl (0.000, 0.000, 0.000)
Re (0.000, 0.500, 0.500)
Re (0.500, 0.500, 0.000)
Pb (0.500, 0.000, 0.500)

---

# 6
Dy3Si4Ir2: relaxed, GGA-PBE.

Computed properties:
ρ: 9.256 g cm⁻³
energy above the lowest structure with this stoichiometry: 0.265 eV/f.u.
density of states at the Fermi level: 5.17 states/eV/cell
total moment: 0.0 μB/f.u.

a b c (Å): 5.814 5.814 8.220
angles (deg): 101.39 101.39 40.55
Positions (direct):
Dy (0.000, 0.000, 0.000)
Dy (0.331, 0.331, 0.341)
Dy (0.669, 0.669, 0.659)
Si (0.049, 0.049, 0.384)
Si (0.277, 0.277, 0.936)
Si (0.723, 0.723, 0.064)
Si (0.951, 0.951, 0.616)
Ir (0.393, 0.393, 0.724)
Ir (0.607, 0.607, 0.276)

---

# 7
Nb2FeIrN: relaxed, GGA-PBE.

Computed properties:
energy: -9.677 eV per atom
ρ: 10.870 g cm⁻³
density of states at the Fermi level: 3.90 states/eV/cell
total moment: 1.6 μB/f.u.

a b c (Å): 4.250 4.250 3.787
angles (deg): 90.00 90.00 90.00
Positions (direct):
Nb (0.000, 0.500, 0.000)
Nb (0.500, 0.000, 0.000)
Fe (0.000, 0.000, 0.500)
Ir (0.500, 0.500, 0.500)
N (0.000, 0.000, 0.000)

---

# 8
CsTe3As: relaxed, GGA-PBE.

Computed properties:
ρ: 5.097 g cm⁻³
energy above the lowest structure with this stoichiometry: 0.443 eV/f.u.
density of states at the Fermi level: 8.77 states/eV/cell
total moment: 0.0 μB/f.u.

a b c (Å): 7.387 7.387 7.387
angles (deg): 79.42 79.42 79.42
Positions (direct):
Cs (0.000, 0.000, 0.000)
Cs (0.500, 0.500, 0.500)
Te (0.159, 0.959, 0.469)
Te (0.459, 0.659, 0.969)
Te (0.469, 0.159, 0.959)
Te (0.659, 0.969, 0.459)
Te (0.959, 0.469, 0.159)
Te (0.969, 0.459, 0.659)
As (0.264, 0.264, 0.264)
As (0.764, 0.764, 0.764)

---

Copy entry 5 word for word.
TlRe2Pb: relaxed, GGA-PBE.

Computed properties:
ρ: 16.783 g cm⁻³
energy above the lowest structure with this stoichiometry: 3.514 eV/f.u.
density of states at the Fermi level: 4.93 states/eV/cell
total moment: 0.0 μB/f.u.
calculated formation energy: 1324 meV/atom

a b c (Å): 3.184 4.674 5.213
angles (deg): 90.00 90.00 90.00
Positions (direct):
Tl (0.000, 0.000, 0.000)
Re (0.000, 0.500, 0.500)
Re (0.500, 0.500, 0.000)
Pb (0.500, 0.000, 0.500)